Entry 1:
LaPr3NdTm after structural relaxation, computed with PBE.

Results
Energy relative to the elements in eV/f.u.: 0.124
Space-group type: P2_1/m (11)

Cell lengths 5.2289, 8.1941, 11.0158 Å; angles 116.35, 90.00, 90.00 degrees
Sites, in units of the cell vectors:
Pr: 0.2500 0.6250 0.4558
La: 0.2500 0.1207 0.2900
Pr: 0.7500 0.8682 0.0411
Pr: 0.7500 0.3750 0.5442
Pr: 0.7500 0.3772 0.2056
La: 0.7500 0.8793 0.7100
Pr: 0.2500 0.6228 0.7944
Nd: 0.2500 0.1281 0.6274
Tm: 0.7500 0.3801 0.8778
Pr: 0.2500 0.1318 0.9589
Tm: 0.2500 0.6199 0.1222
Nd: 0.7500 0.8719 0.3726

***

Entry 2:
LaPr2Nd2Tm2 after structural relaxation, computed with PBE.

Results
Energy relative to the elements in eV/f.u.: 0.931
Space-group type: C2/m (12)

Cell lengths 3.5476, 9.3378, 8.6752 Å; angles 119.12, 90.00, 100.95 degrees
Sites, in units of the cell vectors:
Nd: 0.4294 0.8588 0.7635
Pr: 0.3517 0.7033 0.0916
Tm: 0.7863 0.5726 0.3742
Tm: 0.2137 0.4274 0.6258
La: 0.0000 0.0000 0.5000
Nd: 0.5706 0.1412 0.2365
Pr: 0.6483 0.2967 0.9084

***

Entry 3:
La2PrNd6Tm after structural relaxation, computed with PBE.

Results
Energy relative to the elements in eV/f.u.: 1.077
Space-group type: C2/c (15)

Cell lengths 10.0854, 8.9686, 8.9686 Å; angles 117.74, 94.90, 94.90 degrees
Sites, in units of the cell vectors:
La: 0.4579 0.8039 0.7072
Nd: 0.3107 0.9850 0.4239
Pr: 0.2500 0.9870 0.0130
Tm: 0.2500 0.4064 0.5936
La: 0.0421 0.2928 0.1961
Nd: 0.1893 0.5761 0.0150
Tm: 0.7500 0.5936 0.4064
La: 0.5421 0.1961 0.2928
Nd: 0.6893 0.0150 0.5761
Nd: 0.8808 0.2986 0.5060
Nd: 0.6192 0.4940 0.7014
La: 0.9579 0.7072 0.8039
Nd: 0.8107 0.4239 0.9850
Nd: 0.1192 0.7014 0.4940
Pr: 0.7500 0.0130 0.9870
Nd: 0.4449 0.2599 0.8800
Nd: 0.5551 0.7401 0.1200
Nd: 0.3808 0.5060 0.2986
Nd: 0.0551 0.1200 0.7401
Nd: 0.9449 0.8800 0.2599

***

Density of states at the Fermi level? In order: 1.6179 1.6707 1.4816 states/eV/atom.